Dy3YMg2: relaxed, PBE.

Cell: 3.695 3.695 12.677 Å, 90.00 90.00 90.00°
Space group P4/mmm (No. 123)
Inequivalent atoms, fractional coordinates:
Dy 0.000 0.000 0.000
Dy 0.000 0.000 0.308
Y 0.500 0.500 0.500
Mg 0.500 0.500 0.152

size of the total moment = 0.00 μB/cell
volume = 28.85 Å³/atom
mass density = 6.0 g/cm3
formation energy from the elements = -0.040 eV/atom
final energy = -3.949 eV/atom